The following is a DFT calculation (PBE) of Ho2Zn16Ni after structural relaxation.

Values from the calculation:
* calculated density: 7.93 g/cm³
* DOS(E_F): 21.73 states/eV per cell
* spin magnetization: 0.00 μB per cell
* total DFT energy (no corrections): -2.089 eV/atom
* ΔE_f: -0.230 eV per atom

Lattice parameters (Å, degrees): 8.9157 8.9157 13.0940 90.00 90.00 120.00
Closest atoms and distances in Å follow each position.
Space group R3m (No. 160, hexagonal axes)
Unique sites:
Ho 0.0000 0.0000 0.0000 x3  19 Zn 3.14-3.47
Ho 0.0000 0.0000 0.3333 x3  1 Ni 3.01, 15 Zn 3.18-3.28
Zn 0.0000 0.0000 0.7603 x3  1 Ni 2.58, 6 Zn 2.81-2.89
Zn 0.9998 0.2913 0.6623 x18  8 Zn 2.55-2.77
Zn 0.0043 0.5022 0.8145 x9  8 Zn 2.55-2.73, 1 Ni 2.82
Zn 0.0108 0.5054 0.1628 x9  9 Zn 2.55-2.81, 1 Ni 2.64
Zn 0.1721 0.3443 0.8464 x9  8 Zn 2.55-2.77
Ni 0.0000 0.0000 0.5633 x3  7 Zn 2.58-2.82